This record from Alexandria describes a geometry-optimized BeCo2Re structure. The functional is GGA-PBEsol.

Cell lengths 2.534, 3.741, 4.718 Å; angles 90.00, 105.47, 90.00 degrees
Space group Pm (No. 6)
Inequivalent atoms, fractional coordinates:
Be (0.000, 0.000, 0.000)
Co (0.120, 0.500, 0.228)
Co (0.747, 0.000, 0.485)
Re (0.379, 0.500, 0.750)

Calculated values
E_tot	-8.17	eV/atom
formation energy	35	meV/atom